[1]
# Tl2Sb2I, relaxed, DFT GGA-PBEsol
data_Tl2Sb2I
_cell_length_a 4.231
_cell_length_b 4.231
_cell_length_c 18.678
_cell_angle_alpha 90.00
_cell_angle_beta 90.00
_cell_angle_gamma 90.00
_symmetry_space_group_name_H-M 'I 4/m m m'
_symmetry_Int_Tables_number 139
_symmetry_space_group_name_Hall '-I 4 2'
loop_
_atom_site_label
_atom_site_fract_x
_atom_site_fract_y
_atom_site_fract_z
_atom_site_occupancy
Tl1 0.000 0.000 0.099 1
Sb1 0.000 0.500 0.250 1
I1 0.000 0.000 0.500 1
# Total moment (μB/atom): 0.00
# Uncorrected energy (hartree per atom): -0.1242
# ΔE_f (raw) (eV per atom): -0.1518


[2]
# YTlSbI2, relaxed, DFT GGA-PBEsol
data_YTlSbI2
_cell_length_a 5.774
_cell_length_b 5.774
_cell_length_c 5.666
_cell_angle_alpha 90.00
_cell_angle_beta 90.00
_cell_angle_gamma 90.00
_symmetry_space_group_name_H-M 'P 4/m m m'
_symmetry_Int_Tables_number 123
_symmetry_space_group_name_Hall '-P 4 2'
loop_
_atom_site_label
_atom_site_fract_x
_atom_site_fract_y
_atom_site_fract_z
_atom_site_occupancy
Y1 0.000 0.000 0.000 1
Tl1 0.500 0.500 0.500 1
Sb1 0.500 0.500 0.000 1
I1 0.000 0.500 0.500 1
# Total moment (μB/atom): 0.00
# Uncorrected energy (hartree per atom): -0.1208
# ΔE_f (raw) (eV per atom): 0.2206


[3]
# ZrTlSbI2, relaxed, DFT GGA-PBEsol
data_ZrTlSbI2
_cell_length_a 5.755
_cell_length_b 5.755
_cell_length_c 5.597
_cell_angle_alpha 90.00
_cell_angle_beta 90.00
_cell_angle_gamma 90.00
_symmetry_space_group_name_H-M 'P 4/m m m'
_symmetry_Int_Tables_number 123
_symmetry_space_group_name_Hall '-P 4 2'
loop_
_atom_site_label
_atom_site_fract_x
_atom_site_fract_y
_atom_site_fract_z
_atom_site_occupancy
Zr1 0.000 0.000 0.000 1
Tl1 0.500 0.500 0.500 1
Sb1 0.500 0.500 0.000 1
I1 0.000 0.500 0.500 1
# Total moment (μB/atom): 0.28
# Uncorrected energy (hartree per atom): -0.1142
# ΔE_f (raw) (eV per atom): 0.8554


[4]
# SbW2I2, relaxed, DFT GGA-PBEsol
data_SbW2I2
_cell_length_a 5.257
_cell_length_b 5.257
_cell_length_c 5.729
_cell_angle_alpha 90.00
_cell_angle_beta 90.00
_cell_angle_gamma 90.00
_symmetry_space_group_name_H-M 'P 4/m m m'
_symmetry_Int_Tables_number 123
_symmetry_space_group_name_Hall '-P 4 2'
loop_
_atom_site_label
_atom_site_fract_x
_atom_site_fract_y
_atom_site_fract_z
_atom_site_occupancy
Sb1 0.000 0.000 0.000 1
W1 0.000 0.500 0.000 1
I1 0.000 0.000 0.500 1
I2 0.500 0.500 0.500 1
# Total moment (μB/atom): 1.29
# Uncorrected energy (hartree per atom): -0.1777
# ΔE_f (raw) (eV per atom): 2.3055


[5]
# YSb2WI, relaxed, DFT GGA-PBEsol
data_YSb2WI
_cell_length_a 5.720
_cell_length_b 5.720
_cell_length_c 5.584
_cell_angle_alpha 90.00
_cell_angle_beta 90.00
_cell_angle_gamma 90.00
_symmetry_space_group_name_H-M 'P 4/m m m'
_symmetry_Int_Tables_number 123
_symmetry_space_group_name_Hall '-P 4 2'
loop_
_atom_site_label
_atom_site_fract_x
_atom_site_fract_y
_atom_site_fract_z
_atom_site_occupancy
Y1 0.000 0.000 0.000 1
Sb1 0.000 0.500 0.000 1
W1 0.500 0.500 0.500 1
I1 0.000 0.000 0.500 1
# Total moment (μB/atom): 0.79
# Uncorrected energy (hartree per atom): -0.1800
# ΔE_f (raw) (eV per atom): 1.4029


[6]
# YSbWI2, relaxed, DFT GGA-PBEsol
data_YSbWI2
_cell_length_a 5.355
_cell_length_b 5.355
_cell_length_c 5.286
_cell_angle_alpha 90.00
_cell_angle_beta 90.00
_cell_angle_gamma 90.00
_symmetry_space_group_name_H-M 'P 4/m m m'
_symmetry_Int_Tables_number 123
_symmetry_space_group_name_Hall '-P 4 2'
loop_
_atom_site_label
_atom_site_fract_x
_atom_site_fract_y
_atom_site_fract_z
_atom_site_occupancy
Y1 0.000 0.000 0.000 1
Sb1 0.500 0.500 0.000 1
W1 0.500 0.500 0.500 1
I1 0.000 0.500 0.500 1
# Total moment (μB/atom): 0.40
# Uncorrected energy (hartree per atom): -0.1890
# ΔE_f (raw) (eV per atom): 0.6017


[7]
# Y2ZnSbI, relaxed, DFT GGA-PBEsol
data_Y2ZnSbI
_cell_length_a 5.546
_cell_length_b 5.546
_cell_length_c 5.713
_cell_angle_alpha 90.00
_cell_angle_beta 90.00
_cell_angle_gamma 90.00
_symmetry_space_group_name_H-M 'P 4/m m m'
_symmetry_Int_Tables_number 123
_symmetry_space_group_name_Hall '-P 4 2'
loop_
_atom_site_label
_atom_site_fract_x
_atom_site_fract_y
_atom_site_fract_z
_atom_site_occupancy
Y1 0.000 0.500 0.000 1
Zn1 0.000 0.000 0.500 1
Sb1 0.500 0.500 0.500 1
I1 0.500 0.500 0.000 1
# Total moment (μB/atom): 0.00
# Uncorrected energy (hartree per atom): -0.1379
# ΔE_f (raw) (eV per atom): 0.5588


[8]
# YZrSb2I, relaxed, DFT GGA-PBEsol
data_YZrSb2I
_cell_length_a 5.510
_cell_length_b 5.510
_cell_length_c 5.414
_cell_angle_alpha 90.00
_cell_angle_beta 90.00
_cell_angle_gamma 90.00
_symmetry_space_group_name_H-M 'P 4/m m m'
_symmetry_Int_Tables_number 123
_symmetry_space_group_name_Hall '-P 4 2'
loop_
_atom_site_label
_atom_site_fract_x
_atom_site_fract_y
_atom_site_fract_z
_atom_site_occupancy
Y1 0.000 0.000 0.000 1
Zr1 0.500 0.500 0.500 1
Sb1 0.000 0.500 0.500 1
I1 0.500 0.500 0.000 1
# Total moment (μB/atom): 0.00
# Uncorrected energy (hartree per atom): -0.1992
# ΔE_f (raw) (eV per atom): -0.0613


[9]
# Zn2SbI, relaxed, DFT GGA-PBEsol
data_Zn2SbI
_cell_length_a 6.167
_cell_length_b 6.167
_cell_length_c 12.615
_cell_angle_alpha 90.00
_cell_angle_beta 90.00
_cell_angle_gamma 90.00
_symmetry_space_group_name_H-M 'I -4 2 d'
_symmetry_Int_Tables_number 122
_symmetry_space_group_name_Hall 'I -4 2bw'
loop_
_atom_site_label
_atom_site_fract_x
_atom_site_fract_y
_atom_site_fract_z
_atom_site_occupancy
Zn1 0.208 0.250 0.125 1
Sb1 0.000 0.000 0.000 1
I1 0.000 0.000 0.500 1
# Total moment (μB/atom): 0.00
# Uncorrected energy (hartree per atom): -0.0925
# ΔE_f (raw) (eV per atom): -0.1456


[10]
# ZrSbI3, relaxed, DFT GGA-PBEsol
data_ZrSbI3
_cell_length_a 5.670
_cell_length_b 5.670
_cell_length_c 5.670
_cell_angle_alpha 90.00
_cell_angle_beta 90.00
_cell_angle_gamma 90.00
_symmetry_space_group_name_H-M 'P m -3 m'
_symmetry_Int_Tables_number 221
_symmetry_space_group_name_Hall '-P 4 2 3'
loop_
_atom_site_label
_atom_site_fract_x
_atom_site_fract_y
_atom_site_fract_z
_atom_site_occupancy
Zr1 0.000 0.000 0.000 1
Sb1 0.500 0.500 0.500 1
I1 0.000 0.000 0.500 1
# Total moment (μB/atom): 0.61
# Uncorrected energy (hartree per atom): -0.1398
# ΔE_f (raw) (eV per atom): -0.0135


[11]
# Zr2SbI, relaxed, DFT GGA-PBEsol
data_Zr2SbI
_cell_length_a 7.647
_cell_length_b 7.647
_cell_length_c 7.064
_cell_angle_alpha 90.00
_cell_angle_beta 90.00
_cell_angle_gamma 90.00
_symmetry_space_group_name_H-M 'I -4 2 d'
_symmetry_Int_Tables_number 122
_symmetry_space_group_name_Hall 'I -4 2bw'
loop_
_atom_site_label
_atom_site_fract_x
_atom_site_fract_y
_atom_site_fract_z
_atom_site_occupancy
Zr1 0.243 0.250 0.125 1
Sb1 0.000 0.000 0.500 1
I1 0.000 0.000 0.000 1
# Total moment (μB/atom): 0.00
# Uncorrected energy (hartree per atom): -0.2222
# ΔE_f (raw) (eV per atom): 0.0806


[12]
# ScSe3I, relaxed, DFT GGA-PBEsol
data_ScSe3I
_cell_length_a 5.266
_cell_length_b 5.266
_cell_length_c 5.266
_cell_angle_alpha 90.00
_cell_angle_beta 90.00
_cell_angle_gamma 90.00
_symmetry_space_group_name_H-M 'P m -3 m'
_symmetry_Int_Tables_number 221
_symmetry_space_group_name_Hall '-P 4 2 3'
loop_
_atom_site_label
_atom_site_fract_x
_atom_site_fract_y
_atom_site_fract_z
_atom_site_occupancy
Sc1 0.000 0.000 0.000 1
Se1 0.000 0.500 0.500 1
I1 0.500 0.500 0.500 1
# Total moment (μB/atom): 0.10
# Uncorrected energy (hartree per atom): -0.1308
# ΔE_f (raw) (eV per atom): 0.4255